{
  "formula": "NaV3O",
  "functional": "GGA+U",
  "state": "relaxed",
  "de_polymorph_ev_per_fu": 9.67,
  "final_energy_ev_per_cell": -17.03,
  "lattice": [[-4.349, -1.914, 1.583], [-0.417, -2.583, -4.271], [2.449, -3.840, 2.083]],
  "species": ["V", "V", "V", "Na", "O"],
  "fractional_positions": [[0.000, 0.500, 0.000], [0.000, 0.000, 0.500], [0.500, 0.000, 0.000], [0.000, 0.000, 0.000], [0.500, 0.500, 0.500]]
}